<1>
This record from Alexandria via LeMat-Bulk describes Be2PH after structural relaxation. The functional is PBE.

Cell and atoms, written as extended XYZ:
```
8
Lattice="4.6950 0.0000 -0.0048 0.0000 3.5291 0.0000 -2.3232 0.0000 6.0569" Properties=species:S:1:pos:R:3 pbc="T T T"
Be -1.2688 0.8823 3.9105
Be 3.6406 2.6468 2.1417
Be 1.2945 0.8823 3.9089
Be 1.0773 2.6468 2.1433
P 2.3587 0.8823 1.9526
P 0.0131 2.6468 4.0996
H 2.3617 0.8823 4.9037
H 0.0101 2.6468 1.1485
```

M_tot	0.000	μB per atom


<2>
This record from Alexandria via LeMat-Bulk describes Be2PH after structural relaxation. The functional is PBE.

Cell and atoms, written as extended XYZ:
```
16
Lattice="-6.7944 1.4538 3.5900 -0.2222 -3.3574 0.9390 4.8810 0.9271 4.4700" Properties=species:S:1:pos:R:3 pbc="T T T"
Be -3.1559 1.0412 2.9760
Be 1.2425 1.3397 5.0841
Be -0.8265 -0.1739 5.6805
Be -1.3092 -0.8026 3.3186
Be 1.7757 0.7016 2.9290
Be -3.6891 1.6793 5.1311
Be -0.7759 -1.4406 1.1634
Be -1.3597 0.4641 7.8356
P -0.2976 1.8535 6.5568
P -1.6158 0.5274 1.5032
P -2.8492 -0.2887 4.7913
P 0.7136 -0.6878 4.2077
H 1.6607 0.3187 1.5324
H -3.5741 2.0623 6.5276
H 3.9901 -0.8965 4.2370
H -6.1257 -0.0800 4.7621
```

M_tot	0.000	μB per atom


Name the most stable of them. <2>.


<1>
This record from Alexandria via LeMat-Bulk describes K2Be after structural relaxation. The functional is PBE.

Cell and atoms, written as extended XYZ:
```
3
Lattice="-4.8863 -1.0820 3.1856 -1.7229 -4.0201 -4.0081 1.8809 -2.7509 1.9507" Properties=species:S:1:pos:R:3 pbc="T T T"
Be 0.0000 0.0000 0.0000
K 0.0790 -3.3855 -1.0287
K -1.5027 -1.9165 2.5681
```

M_tot	0.000	μB per atom


<2>
This record from Alexandria via LeMat-Bulk describes K2Be after structural relaxation. The functional is PBE.

Cell and atoms, written as extended XYZ:
```
9
Lattice="4.6384 -8.0339 0.0000 4.6384 8.0339 0.0000 0.0000 0.0000 5.1246" Properties=species:S:1:pos:R:3 pbc="T T T"
K 1.1955 -2.0707 0.0000
K 1.1955 2.0707 0.0000
K 6.8857 0.0000 0.0000
K 2.7405 -4.7467 2.5623
K 2.7405 4.7467 2.5623
K 3.7957 0.0000 2.5623
Be 4.6384 2.6780 0.0000
Be 4.6384 -2.6780 0.0000
Be 0.0000 0.0000 2.5623
```

M_tot	0.000	μB per atom


Name the most stable of them. <2>.


<1>
This record from Alexandria via LeMat-Bulk describes OsRhAu2 after structural relaxation. The functional is PBE.

Cell and atoms, written as extended XYZ:
```
4
Lattice="-0.0481 1.7297 4.5573 2.2428 -1.4831 0.5866 2.7804 3.7196 -1.3825" Properties=species:S:1:pos:R:3 pbc="T T T"
Os 1.0973 0.1233 2.5719
Rh 1.3661 2.7247 1.5874
Au 2.6541 2.4136 -0.8881
Au 2.3691 -0.1771 0.0922
```

M_tot	0.000	μB per atom


<2>
This record from Alexandria via LeMat-Bulk describes OsRhAu2 after structural relaxation. The functional is PBE.

Cell and atoms, written as extended XYZ:
```
4
Lattice="-0.5654 -4.4360 -1.8431 1.3294 -3.1092 -3.4584 3.6874 -2.3381 2.4050" Properties=species:S:1:pos:R:3 pbc="T T T"
Os 2.1227 -4.9172 -1.5489
Rh 1.2227 -2.4846 -0.6065
Au 4.4247 -9.8507 -2.9009
Au 3.3583 -7.4559 -2.1848
```

M_tot	0.000	μB per atom


Name the most stable of them. <2>.


<1>
This record from Alexandria via LeMat-Bulk describes CaSi2Mo after structural relaxation. The functional is PBE.

Cell and atoms, written as extended XYZ:
```
4
Lattice="-0.1844 4.6485 -2.5670 -4.3249 3.0038 0.7101 3.4681 -2.5883 3.0830" Properties=species:S:1:pos:R:3 pbc="T T T"
Ca -2.2546 3.8261 -0.9284
Mo 0.5146 2.9432 -0.2062
Si 0.0000 0.0000 0.0000
Si -1.5557 2.1209 1.4323
```

M_tot	0.042	μB per atom


<2>
This record from Alexandria via LeMat-Bulk describes CaSi2Mo after structural relaxation. The functional is PBE.

Cell and atoms, written as extended XYZ:
```
4
Lattice="4.4970 -0.0066 0.0058 3.1132 3.2451 0.0058 1.5387 0.6548 5.3691" Properties=species:S:1:pos:R:3 pbc="T T T"
Ca 6.8617 2.9200 4.0356
Mo 2.2872 0.9733 1.3452
Si 7.6217 3.2434 0.6133
Si 4.5630 1.9418 2.0887
```

M_tot	0.000	μB per atom


Name the most stable of them. <2>.